! HfBeNi2, optimized geometry, DFT GGA-PBE; values from VASP
! V ... 53.1 Å³ per cell
! ρ ... 9.538 Mg/m³
! Magnetization ... 0.000 μB/f.u.
! Formation enthalpy at 0 K ... -0.02 eV/atom
&SYSTEM
  ibrav = 0, nat = 4, ntyp = 3
/
ATOMIC_SPECIES
Hf 178.49 Hf.upf
Be 9.01 Be.upf
Ni 58.69 Ni.upf
CELL_PARAMETERS angstrom
2.436 -3.389 0.000
2.436 3.389 0.000
0.000 0.000 3.214
ATOMIC_POSITIONS crystal
Hf 0.000 0.000 0.000
Be 0.500 0.500 0.000
Ni 0.309 0.691 0.500
Ni 0.691 0.309 0.500